# 1
KAsPb2: optimized geometry, PBE-GGA.

The structure in CIF format:
```
data_KAsPb2
_cell_length_a 4.8517
_cell_length_b 4.8517
_cell_length_c 9.8877
_cell_angle_alpha 90.00
_cell_angle_beta 90.00
_cell_angle_gamma 90.00
_space_group_name_H-M_alt 'I -4 m 2'
_space_group_IT_number 119
_space_group_name_Hall 'I -4 -2'
loop_
_atom_site_label
_atom_site_type_symbol
_atom_site_fract_x
_atom_site_fract_y
_atom_site_fract_z
_atom_site_occupancy
K1 K 0.0000 0.0000 0.0000 1
As1 As 0.0000 0.5000 0.2500 1
Pb1 Pb 0.0000 0.0000 0.5000 1
Pb2 Pb 0.0000 0.5000 0.7500 1
```

***

# 2
KAs2Pb: optimized geometry, PBE-GGA.

The structure in CIF format:
```
data_KAs2Pb
_cell_length_a 8.1634
_cell_length_b 8.1634
_cell_length_c 7.6008
_cell_angle_alpha 90.00
_cell_angle_beta 90.00
_cell_angle_gamma 90.00
_space_group_name_H-M_alt 'I -4 2 d'
_space_group_IT_number 122
_space_group_name_Hall 'I -4 2bw'
loop_
_atom_site_label
_atom_site_type_symbol
_atom_site_fract_x
_atom_site_fract_y
_atom_site_fract_z
_atom_site_occupancy
K1 K 0.0000 0.0000 0.0000 1
As1 As 0.1933 0.2500 0.6250 1
Pb1 Pb 0.0000 0.0000 0.5000 1
```

***

# 3
KAsPb2: optimized geometry, PBE-GGA.

The structure in CIF format:
```
data_KAsPb2
_cell_length_a 4.2522
_cell_length_b 4.2522
_cell_length_c 7.4272
_cell_angle_alpha 90.00
_cell_angle_beta 90.00
_cell_angle_gamma 90.00
_space_group_name_H-M_alt 'P 4 m m'
_space_group_IT_number 99
loop_
_space_group_symop_operation_xyz
'x,y,z'
'-y,x,z'
'-x,-y,z'
'y,-x,z'
'-x,y,z'
'y,x,z'
'x,-y,z'
'-y,-x,z'
loop_
_atom_site_label
_atom_site_type_symbol
_atom_site_fract_x
_atom_site_fract_y
_atom_site_fract_z
_atom_site_occupancy
K1 K 0.0000 0.0000 0.0000 1
As1 As 0.5000 0.5000 0.6853 1
Pb1 Pb 0.0000 0.0000 0.5459 1
Pb2 Pb 0.5000 0.5000 0.3178 1
```

***

# 4
KAs2Pb: optimized geometry, PBE-GGA.

The structure in CIF format:
```
data_KAs2Pb
_cell_length_a 11.4427
_cell_length_b 3.6383
_cell_length_c 5.8659
_cell_angle_alpha 90.00
_cell_angle_beta 107.02
_cell_angle_gamma 90.00
_space_group_name_H-M_alt 'C 1 m 1'
_space_group_IT_number 8
loop_
_space_group_symop_operation_xyz
'x,y,z'
'x,-y,z'
'x+1/2,y+1/2,z'
'x+1/2,-y+1/2,z'
loop_
_atom_site_label
_atom_site_type_symbol
_atom_site_fract_x
_atom_site_fract_y
_atom_site_fract_z
_atom_site_occupancy
K1 K 0.0000 0.0000 0.0000 1
As1 As 0.0666 0.5000 0.5404 1
As2 As 0.2247 0.0000 0.7311 1
Pb1 Pb 0.2845 0.5000 0.3660 1
```

***

# 5
KAsPb2: optimized geometry, PBE-GGA.

The structure in CIF format:
```
data_KAsPb2
_cell_length_a 12.7279
_cell_length_b 3.8692
_cell_length_c 5.6876
_cell_angle_alpha 90.00
_cell_angle_beta 116.31
_cell_angle_gamma 90.00
_space_group_name_H-M_alt 'C 1 2/m 1'
_space_group_IT_number 12
loop_
_space_group_symop_operation_xyz
'x,y,z'
'-x,-y,-z'
'-x,y,-z'
'x,-y,z'
'x+1/2,y+1/2,z'
'-x+1/2,-y+1/2,-z'
'-x+1/2,y+1/2,-z'
'x+1/2,-y+1/2,z'
loop_
_atom_site_label
_atom_site_type_symbol
_atom_site_fract_x
_atom_site_fract_y
_atom_site_fract_z
_atom_site_occupancy
K1 K 0.0000 0.0000 0.0000 1
As1 As 0.0000 0.5000 0.5000 1
Pb1 Pb 0.1966 0.0000 0.6961 1
```

***

# 6
K4AsPb: optimized geometry, PBE-GGA.

The structure in CIF format:
```
data_K4AsPb
_cell_length_a 9.7495
_cell_length_b 9.7495
_cell_length_c 9.7495
_cell_angle_alpha 90.00
_cell_angle_beta 90.00
_cell_angle_gamma 90.00
_space_group_name_H-M_alt 'F -4 3 m'
_space_group_IT_number 216
_space_group_name_Hall 'F -4 2 3'
loop_
_atom_site_label
_atom_site_type_symbol
_atom_site_fract_x
_atom_site_fract_y
_atom_site_fract_z
_atom_site_occupancy
K1 K 0.1238 0.1238 0.3762 1
As1 As 0.2500 0.2500 0.7500 1
Pb1 Pb 0.0000 0.0000 0.0000 1
```

***

# 7
KAs2Pb: optimized geometry, PBE-GGA.

The structure in CIF format:
```
data_KAs2Pb
_cell_length_a 4.6365
_cell_length_b 4.6365
_cell_length_c 9.7583
_cell_angle_alpha 90.00
_cell_angle_beta 90.00
_cell_angle_gamma 90.00
_space_group_name_H-M_alt 'I -4 m 2'
_space_group_IT_number 119
_space_group_name_Hall 'I -4 -2'
loop_
_atom_site_label
_atom_site_type_symbol
_atom_site_fract_x
_atom_site_fract_y
_atom_site_fract_z
_atom_site_occupancy
K1 K 0.0000 0.0000 0.0000 1
As1 As 0.0000 0.0000 0.5000 1
As2 As 0.0000 0.5000 0.2500 1
Pb1 Pb 0.0000 0.5000 0.7500 1
```

***

# 8
KAsPb2: optimized geometry, PBE-GGA.

The structure in CIF format:
```
data_KAsPb2
_cell_length_a 8.9920
_cell_length_b 8.9920
_cell_length_c 6.6495
_cell_angle_alpha 90.00
_cell_angle_beta 90.00
_cell_angle_gamma 90.00
_space_group_name_H-M_alt 'I -4 2 d'
_space_group_IT_number 122
_space_group_name_Hall 'I -4 2bw'
loop_
_atom_site_label
_atom_site_type_symbol
_atom_site_fract_x
_atom_site_fract_y
_atom_site_fract_z
_atom_site_occupancy
K1 K 0.0000 0.0000 0.0000 1
As1 As 0.0000 0.0000 0.5000 1
Pb1 Pb 0.1836 0.2500 0.6250 1
```

***

# 9
KAs2Pb: optimized geometry, PBE-GGA.

The structure in CIF format:
```
data_KAs2Pb
_cell_length_a 4.0159
_cell_length_b 4.0159
_cell_length_c 25.6195
_cell_angle_alpha 90.00
_cell_angle_beta 90.00
_cell_angle_gamma 120.00
_space_group_name_H-M_alt 'R -3 m'
_space_group_IT_number 166
_space_group_name_Hall '-R 3 2"'
loop_
_atom_site_label
_atom_site_type_symbol
_atom_site_fract_x
_atom_site_fract_y
_atom_site_fract_z
_atom_site_occupancy
K1 K 0.0000 0.0000 0.0000 1
As1 As 0.0000 0.0000 0.2345 1
Pb1 Pb 0.0000 0.0000 0.5000 1
```

***

# 10
KAs2Pb: optimized geometry, PBE-GGA.

The structure in CIF format:
```
data_KAs2Pb
_cell_length_a 11.0728
_cell_length_b 3.7099
_cell_length_c 6.5419
_cell_angle_alpha 90.00
_cell_angle_beta 108.73
_cell_angle_gamma 90.00
_space_group_name_H-M_alt 'C 1 2/m 1'
_space_group_IT_number 12
loop_
_space_group_symop_operation_xyz
'x,y,z'
'-x,-y,-z'
'-x,y,-z'
'x,-y,z'
'x+1/2,y+1/2,z'
'-x+1/2,-y+1/2,-z'
'-x+1/2,y+1/2,-z'
'x+1/2,-y+1/2,z'
loop_
_atom_site_label
_atom_site_type_symbol
_atom_site_fract_x
_atom_site_fract_y
_atom_site_fract_z
_atom_site_occupancy
K1 K 0.0000 0.0000 0.0000 1
As1 As 0.2486 0.0000 0.6336 1
Pb1 Pb 0.0000 0.5000 0.5000 1
```

***

# 11
# KAsPb3, optimized geometry, DFT PBE-GGA
data_KAsPb3
_cell_length_a 5.7611
_cell_length_b 5.7611
_cell_length_c 5.7611
_cell_angle_alpha 90.00
_cell_angle_beta 90.00
_cell_angle_gamma 90.00
_space_group_name_H-M_alt 'P m -3 m'
_space_group_IT_number 221
_space_group_name_Hall '-P 4 2 3'
loop_
_atom_site_label
_atom_site_type_symbol
_atom_site_fract_x
_atom_site_fract_y
_atom_site_fract_z
_atom_site_occupancy
K1 K 0.0000 0.0000 0.0000 1
As1 As 0.5000 0.5000 0.5000 1
Pb1 Pb 0.0000 0.5000 0.5000 1
# Energy above the lowest structure with this stoichiometry = 0 meV per atom

***

# 12
KAs2Pb2: optimized geometry, PBE-GGA.

The structure in CIF format:
```
data_KAs2Pb2
_cell_length_a 8.6617
_cell_length_b 8.6617
_cell_length_c 3.8715
_cell_angle_alpha 90.00
_cell_angle_beta 90.00
_cell_angle_gamma 90.00
_space_group_name_H-M_alt 'P 4/m b m'
_space_group_IT_number 127
_space_group_name_Hall '-P 4 2ab'
loop_
_atom_site_label
_atom_site_type_symbol
_atom_site_fract_x
_atom_site_fract_y
_atom_site_fract_z
_atom_site_occupancy
K1 K 0.0000 0.0000 0.0000 1
As1 As 0.1353 0.3647 0.0000 1
Pb1 Pb 0.1431 0.6431 0.5000 1
```

***

# 13
# KAsPb3, optimized geometry, DFT PBE-GGA
data_KAsPb3
_cell_length_a 5.8843
_cell_length_b 5.8843
_cell_length_c 5.8843
_cell_angle_alpha 90.00
_cell_angle_beta 90.00
_cell_angle_gamma 90.00
_space_group_name_H-M_alt 'P m -3 m'
_space_group_IT_number 221
_space_group_name_Hall '-P 4 2 3'
loop_
_atom_site_label
_atom_site_type_symbol
_atom_site_fract_x
_atom_site_fract_y
_atom_site_fract_z
_atom_site_occupancy
K1 K 0.0000 0.0000 0.0000 1
As1 As 0.5000 0.5000 0.5000 1
Pb1 Pb 0.0000 0.0000 0.5000 1
# Energy above the lowest structure with this stoichiometry = 1023 meV per atom

***

# 14
KAs2Pb: optimized geometry, PBE-GGA.

The structure in CIF format:
```
data_KAs2Pb
_cell_length_a 4.7351
_cell_length_b 4.7351
_cell_length_c 9.2246
_cell_angle_alpha 90.00
_cell_angle_beta 90.00
_cell_angle_gamma 90.00
_space_group_name_H-M_alt 'I 4/m m m'
_space_group_IT_number 139
_space_group_name_Hall '-I 4 2'
loop_
_atom_site_label
_atom_site_type_symbol
_atom_site_fract_x
_atom_site_fract_y
_atom_site_fract_z
_atom_site_occupancy
K1 K 0.0000 0.0000 0.0000 1
As1 As 0.0000 0.5000 0.2500 1
Pb1 Pb 0.0000 0.0000 0.5000 1
```

***

no.,ΔH_f (0 K) (eV/atom),magnetic moment (μB per formula unit),D(E_F) (states/eV per atom)
1,-0.01,0.0,0.344
2,0.05,0.0,1.154
3,-0.13,0.0,0.391
4,-0.14,0.0,0.387
5,-0.11,0.0,0.672
6,0.31,1.0,0.887
7,0.15,0.0,0.848
8,-0.13,0.0,0.239
9,0.06,0.0,0.475
10,-0.13,0.0,0.454
11,0.18,0.0,0.876
12,-0.07,0.0,0.455
13,1.20,0.0,0.887
14,0.06,0.0,0.431